No. 1
# LiInRh (PBE, relaxed)
data_LiInRh
_chemical_formula_sum 'Li1 In1 Rh1'
_space_group_name_H-M_alt 'P 1'
_space_group_IT_number 1
_space_group_name_Hall 'P 1'
_cell_length_a 4.3419
_cell_length_b 3.0324
_cell_length_c 4.4267
_cell_angle_alpha 90.00
_cell_angle_beta 90.10
_cell_angle_gamma 90.00
loop_
_atom_site_label
_atom_site_type_symbol
_atom_site_fract_x
_atom_site_fract_y
_atom_site_fract_z
Li1 Li 0.0000 0.0000 0.0000
In1 In 0.5000 0.0000 0.5000
Rh1 Rh 0.5000 0.5000 0.0000
# Electronic total energy ... -4.29 eV/atom
# Space group ... P2/m (10)
# Energy of formation from the pure elements ... -0.29 eV per atom

***

No. 2
# LiIn2Rh3 (PBE, relaxed)
data_LiIn2Rh3
_chemical_formula_sum 'Li2 In4 Rh6'
_space_group_name_H-M_alt 'P 1'
_space_group_IT_number 1
_space_group_name_Hall 'P 1'
_cell_length_a 4.4759
_cell_length_b 4.4759
_cell_length_c 10.9354
_cell_angle_alpha 90.00
_cell_angle_beta 90.00
_cell_angle_gamma 120.00
loop_
_atom_site_label
_atom_site_type_symbol
_atom_site_fract_x
_atom_site_fract_y
_atom_site_fract_z
Li1 Li 0.3333 0.6667 0.1655
Li2 Li 0.6667 0.3333 0.8345
In1 In 0.0000 0.0000 0.0000
In2 In 0.0000 0.0000 0.5000
In3 In 0.3333 0.6667 0.6787
In4 In 0.6667 0.3333 0.3213
Rh1 Rh 0.0000 0.0000 0.2487
Rh2 Rh 0.0000 0.0000 0.7513
Rh3 Rh 0.3333 0.6667 0.4173
Rh4 Rh 0.3333 0.6667 0.9217
Rh5 Rh 0.6667 0.3333 0.0783
Rh6 Rh 0.6667 0.3333 0.5827
# Electronic total energy ... -5.29 eV/atom
# Space group ... P-3m1 (164)
# Energy of formation from the pure elements ... -0.38 eV per atom

***

No. 3
# Li2InSi2Rh5 (PBE, relaxed)
data_Li2InSi2Rh5
_chemical_formula_sum 'Li4 In2 Si4 Rh10'
_space_group_name_H-M_alt 'P 1'
_space_group_IT_number 1
_space_group_name_Hall 'P 1'
_cell_length_a 9.9254
_cell_length_b 9.9254
_cell_length_c 3.1442
_cell_angle_alpha 90.00
_cell_angle_beta 90.00
_cell_angle_gamma 90.00
loop_
_atom_site_label
_atom_site_type_symbol
_atom_site_fract_x
_atom_site_fract_y
_atom_site_fract_z
Li1 Li 0.1718 0.3282 0.0000
Li2 Li 0.3282 0.8282 0.0000
Li3 Li 0.6718 0.1718 0.0000
Li4 Li 0.8282 0.6718 0.0000
In1 In 0.0000 0.0000 0.0000
In2 In 0.5000 0.5000 0.0000
Si1 Si 0.1289 0.6289 0.0000
Si2 Si 0.3711 0.1289 0.0000
Si3 Si 0.6289 0.8711 0.0000
Si4 Si 0.8711 0.3711 0.0000
Rh1 Rh 0.0000 0.5000 0.5000
Rh2 Rh 0.0707 0.7896 0.5000
Rh3 Rh 0.2104 0.0707 0.5000
Rh4 Rh 0.2896 0.5707 0.5000
Rh5 Rh 0.4293 0.2896 0.5000
Rh6 Rh 0.5000 0.0000 0.5000
Rh7 Rh 0.5707 0.7104 0.5000
Rh8 Rh 0.7104 0.4293 0.5000
Rh9 Rh 0.7896 0.9293 0.5000
Rh10 Rh 0.9293 0.2104 0.5000
# Electronic total energy ... -5.96 eV/atom
# Formation energy without anion corrections ... -5.47 eV per formula unit
# Space group ... P4/mbm (127)

***

No. 4
# SrLiIn2Rh2 (PBE, relaxed)
data_SrLiIn2Rh2
_chemical_formula_sum 'Sr1 Li1 In2 Rh2'
_space_group_name_H-M_alt 'P 1'
_space_group_IT_number 1
_space_group_name_Hall 'P 1'
_cell_length_a 4.5904
_cell_length_b 4.5904
_cell_length_c 6.0327
_cell_angle_alpha 90.00
_cell_angle_beta 90.00
_cell_angle_gamma 90.00
loop_
_atom_site_label
_atom_site_type_symbol
_atom_site_fract_x
_atom_site_fract_y
_atom_site_fract_z
Sr1 Sr 0.0000 0.0000 0.0000
Li1 Li 0.0000 0.0000 0.5000
In1 In 0.5000 0.5000 0.2467
In2 In 0.5000 0.5000 0.7533
Rh1 Rh 0.0000 0.5000 0.5000
Rh2 Rh 0.5000 0.0000 0.5000
# Electronic total energy ... -4.25 eV/atom
# Space group ... P4/mmm (123)
# Energy of formation from the pure elements ... -0.29 eV per atom

***

No. 5
# SrLiIn3Rh (PBE, relaxed)
data_SrLiIn3Rh
_chemical_formula_sum 'Sr2 Li2 In6 Rh2'
_space_group_name_H-M_alt 'P 1'
_space_group_IT_number 1
_space_group_name_Hall 'P 1'
_cell_length_a 7.3059
_cell_length_b 7.3059
_cell_length_c 6.4048
_cell_angle_alpha 90.00
_cell_angle_beta 90.00
_cell_angle_gamma 121.54
loop_
_atom_site_label
_atom_site_type_symbol
_atom_site_fract_x
_atom_site_fract_y
_atom_site_fract_z
Sr1 Sr 0.2115 0.7885 0.7500
Sr2 Sr 0.7885 0.2115 0.2500
Li1 Li 0.4444 0.5556 0.7500
Li2 Li 0.5556 0.4444 0.2500
In1 In 0.2174 0.2174 0.0000
In2 In 0.2174 0.2174 0.5000
In3 In 0.3342 0.6658 0.2500
In4 In 0.6658 0.3342 0.7500
In5 In 0.7826 0.7826 0.0000
In6 In 0.7826 0.7826 0.5000
Rh1 Rh 0.1233 0.8767 0.2500
Rh2 Rh 0.8767 0.1233 0.7500
# Electronic total energy ... -3.45 eV/atom
# Space group ... Cmcm (63)
# Energy of formation from the pure elements ... -0.26 eV per atom

***

No. 6
# Sr2LiInRh2 (PBE, relaxed)
data_Sr2LiInRh2
_chemical_formula_sum 'Sr4 Li2 In2 Rh4'
_space_group_name_H-M_alt 'P 1'
_space_group_IT_number 1
_space_group_name_Hall 'P 1'
_cell_length_a 8.8123
_cell_length_b 8.8123
_cell_length_c 8.8123
_cell_angle_alpha 140.25
_cell_angle_beta 58.77
_cell_angle_gamma 138.56
loop_
_atom_site_label
_atom_site_type_symbol
_atom_site_fract_x
_atom_site_fract_y
_atom_site_fract_z
Sr1 Sr 0.1709 0.2504 0.4213
Sr2 Sr 0.3291 0.7504 0.0795
Sr3 Sr 0.6709 0.2496 0.9205
Sr4 Sr 0.8291 0.7496 0.5787
Li1 Li 0.2500 0.2500 0.0000
Li2 Li 0.7500 0.7500 0.0000
In1 In 0.2500 0.7500 0.5000
In2 In 0.7500 0.2500 0.5000
Rh1 Rh 0.1100 0.7501 0.8601
Rh2 Rh 0.3900 0.2501 0.6402
Rh3 Rh 0.6100 0.7499 0.3598
Rh4 Rh 0.8900 0.2499 0.1399
# Electronic total energy ... -4.08 eV/atom
# Space group ... Ibam (72)
# Energy of formation from the pure elements ... -0.29 eV per atom

***

No. 7
# LiTa2InRh (PBE, relaxed)
data_LiTa2InRh
_chemical_formula_sum 'Li1 Ta2 In1 Rh1'
_space_group_name_H-M_alt 'P 1'
_space_group_IT_number 1
_space_group_name_Hall 'P 1'
_cell_length_a 4.4444
_cell_length_b 4.4444
_cell_length_c 4.2580
_cell_angle_alpha 90.00
_cell_angle_beta 90.00
_cell_angle_gamma 90.00
loop_
_atom_site_label
_atom_site_type_symbol
_atom_site_fract_x
_atom_site_fract_y
_atom_site_fract_z
Li1 Li 0.0000 0.0000 0.0000
Ta1 Ta 0.0000 0.5000 0.0000
Ta2 Ta 0.5000 0.0000 0.0000
In1 In 0.5000 0.5000 0.5000
Rh1 Rh 0.0000 0.0000 0.5000
# Electronic total energy ... -6.40 eV/atom
# Space group ... P4/mmm (123)
# Energy of formation from the pure elements ... 0.74 eV per atom

***

No. 8
# LiInTcRh (PBE, relaxed)
data_LiInTcRh
_chemical_formula_sum 'Li1 In1 Tc1 Rh1'
_space_group_name_H-M_alt 'P 1'
_space_group_IT_number 1
_space_group_name_Hall 'P 1'
_cell_length_a 4.4417
_cell_length_b 4.4417
_cell_length_c 4.4417
_cell_angle_alpha 60.00
_cell_angle_beta 60.00
_cell_angle_gamma 60.00
loop_
_atom_site_label
_atom_site_type_symbol
_atom_site_fract_x
_atom_site_fract_y
_atom_site_fract_z
Li1 Li 0.0000 0.0000 0.0000
In1 In 0.2500 0.2500 0.2500
Tc1 Tc 0.7500 0.7500 0.7500
Rh1 Rh 0.5000 0.5000 0.5000
# Electronic total energy ... -5.59 eV/atom
# Space group ... F-43m (216)
# Energy of formation from the pure elements ... 0.00 eV per atom

***

No. 9
# LiInTcRh2 (PBE, relaxed)
data_LiInTcRh2
_chemical_formula_sum 'Li1 In1 Tc1 Rh2'
_space_group_name_H-M_alt 'P 1'
_space_group_IT_number 1
_space_group_name_Hall 'P 1'
_cell_length_a 4.9392
_cell_length_b 4.9392
_cell_length_c 5.0655
_cell_angle_alpha 90.00
_cell_angle_beta 90.00
_cell_angle_gamma 90.00
loop_
_atom_site_label
_atom_site_type_symbol
_atom_site_fract_x
_atom_site_fract_y
_atom_site_fract_z
Li1 Li 0.0000 0.0000 0.0000
In1 In 0.5000 0.5000 0.5000
Tc1 Tc 0.5000 0.5000 0.0000
Rh1 Rh 0.0000 0.5000 0.5000
Rh2 Rh 0.5000 0.0000 0.5000
# Electronic total energy ... -4.50 eV/atom
# Space group ... P4/mmm (123)
# Energy of formation from the pure elements ... 1.44 eV per atom

***

No. 10
# LiThIn4Rh2 (PBE, relaxed)
data_LiThIn4Rh2
_chemical_formula_sum 'Li1 Th1 In4 Rh2'
_space_group_name_H-M_alt 'P 1'
_space_group_IT_number 1
_space_group_name_Hall 'P 1'
_cell_length_a 4.2219
_cell_length_b 4.2219
_cell_length_c 9.8449
_cell_angle_alpha 90.00
_cell_angle_beta 90.00
_cell_angle_gamma 90.00
loop_
_atom_site_label
_atom_site_type_symbol
_atom_site_fract_x
_atom_site_fract_y
_atom_site_fract_z
Li1 Li 0.0000 0.0000 0.0000
Th1 Th 0.0000 0.0000 0.5000
In1 In 0.0000 0.5000 0.1859
In2 In 0.0000 0.5000 0.8141
In3 In 0.5000 0.0000 0.1859
In4 In 0.5000 0.0000 0.8141
Rh1 Rh 0.5000 0.5000 0.3706
Rh2 Rh 0.5000 0.5000 0.6294
# Electronic total energy ... -4.67 eV/atom
# Space group ... P4/mmm (123)
# Energy of formation from the pure elements ... -0.30 eV per atom

***

No. 11
# LiThInRh (PBE, relaxed)
data_LiThInRh
_chemical_formula_sum 'Li1 Th1 In1 Rh1'
_space_group_name_H-M_alt 'P 1'
_space_group_IT_number 1
_space_group_name_Hall 'P 1'
_cell_length_a 4.8612
_cell_length_b 4.8612
_cell_length_c 4.8612
_cell_angle_alpha 60.00
_cell_angle_beta 60.00
_cell_angle_gamma 60.00
loop_
_atom_site_label
_atom_site_type_symbol
_atom_site_fract_x
_atom_site_fract_y
_atom_site_fract_z
Li1 Li 0.0000 0.0000 0.0000
Th1 Th 0.7500 0.7500 0.7500
In1 In 0.2500 0.2500 0.2500
Rh1 Rh 0.5000 0.5000 0.5000
# Electronic total energy ... -5.36 eV/atom
# Space group ... F-43m (216)
# Energy of formation from the pure elements ... -0.50 eV per atom

***

No. 12
# LiTmInRh (PBE, relaxed)
data_LiTmInRh
_chemical_formula_sum 'Li1 Tm1 In1 Rh1'
_space_group_name_H-M_alt 'P 1'
_space_group_IT_number 1
_space_group_name_Hall 'P 1'
_cell_length_a 4.7238
_cell_length_b 4.7238
_cell_length_c 4.7238
_cell_angle_alpha 60.00
_cell_angle_beta 60.00
_cell_angle_gamma 60.00
loop_
_atom_site_label
_atom_site_type_symbol
_atom_site_fract_x
_atom_site_fract_y
_atom_site_fract_z
Li1 Li 0.0000 0.0000 0.0000
Tm1 Tm 0.2500 0.2500 0.2500
In1 In 0.7500 0.7500 0.7500
Rh1 Rh 0.5000 0.5000 0.5000
# Electronic total energy ... -4.69 eV/atom
# Space group ... F-43m (216)
# Energy of formation from the pure elements ... -0.57 eV per atom

***

No. 13
# Li2Tm3In3Rh (PBE, relaxed)
data_Li2Tm3In3Rh
_chemical_formula_sum 'Li2 Tm3 In3 Rh1'
_space_group_name_H-M_alt 'P 1'
_space_group_IT_number 1
_space_group_name_Hall 'P 1'
_cell_length_a 8.3196
_cell_length_b 8.3196
_cell_length_c 3.3797
_cell_angle_alpha 90.00
_cell_angle_beta 90.00
_cell_angle_gamma 120.00
loop_
_atom_site_label
_atom_site_type_symbol
_atom_site_fract_x
_atom_site_fract_y
_atom_site_fract_z
Li1 Li 0.3333 0.6667 0.0000
Li2 Li 0.6667 0.3333 0.0000
Tm1 Tm 0.0000 0.7370 0.0000
Tm2 Tm 0.2630 0.2630 0.0000
Tm3 Tm 0.7370 0.0000 0.0000
In1 In 0.0000 0.3856 0.5000
In2 In 0.3856 0.0000 0.5000
In3 In 0.6144 0.6144 0.5000
Rh1 Rh 0.0000 0.0000 0.5000
# Electronic total energy ... -4.14 eV/atom
# Space group ... P-62m (189)
# Energy of formation from the pure elements ... -0.49 eV per atom

***

No. 14
# LiVInRh (PBE, relaxed)
data_LiVInRh
_chemical_formula_sum 'Li1 V1 In1 Rh1'
_space_group_name_H-M_alt 'P 1'
_space_group_IT_number 1
_space_group_name_Hall 'P 1'
_cell_length_a 4.3948
_cell_length_b 4.3948
_cell_length_c 4.3948
_cell_angle_alpha 60.00
_cell_angle_beta 60.00
_cell_angle_gamma 60.00
loop_
_atom_site_label
_atom_site_type_symbol
_atom_site_fract_x
_atom_site_fract_y
_atom_site_fract_z
Li1 Li 0.0000 0.0000 0.0000
V1 V 0.2500 0.2500 0.2500
In1 In 0.7500 0.7500 0.7500
Rh1 Rh 0.5000 0.5000 0.5000
# Electronic total energy ... -5.53 eV/atom
# Space group ... F-43m (216)
# Energy of formation from the pure elements ... -0.25 eV per atom

***

No. 15
# LiIn2Ru (PBE, relaxed)
data_LiIn2Ru
_chemical_formula_sum 'Li1 In2 Ru1'
_space_group_name_H-M_alt 'P 1'
_space_group_IT_number 1
_space_group_name_Hall 'P 1'
_cell_length_a 3.3276
_cell_length_b 3.3276
_cell_length_c 6.3158
_cell_angle_alpha 90.00
_cell_angle_beta 90.00
_cell_angle_gamma 90.00
loop_
_atom_site_label
_atom_site_type_symbol
_atom_site_fract_x
_atom_site_fract_y
_atom_site_fract_z
Li1 Li 0.0000 0.0000 0.0000
In1 In 0.5000 0.5000 0.2558
In2 In 0.5000 0.5000 0.7442
Ru1 Ru 0.0000 0.0000 0.5000
# Electronic total energy ... -4.32 eV/atom
# Space group ... P4/mmm (123)
# Energy of formation from the pure elements ... -0.15 eV per atom
# ΔE to the lowest computed polymorph ... 2.4 meV/atom

***

No. 16
# LiInRu2 (PBE, relaxed)
data_LiInRu2
_chemical_formula_sum 'Li1 In1 Ru2'
_space_group_name_H-M_alt 'P 1'
_space_group_IT_number 1
_space_group_name_Hall 'P 1'
_cell_length_a 2.7995
_cell_length_b 2.7995
_cell_length_c 8.8558
_cell_angle_alpha 90.00
_cell_angle_beta 90.00
_cell_angle_gamma 114.23
loop_
_atom_site_label
_atom_site_type_symbol
_atom_site_fract_x
_atom_site_fract_y
_atom_site_fract_z
Li1 Li 0.0000 0.0000 0.0000
In1 In 0.0000 0.0000 0.5000
Ru1 Ru 0.5000 0.5000 0.2455
Ru2 Ru 0.5000 0.5000 0.7545
# Electronic total energy ... -5.37 eV/atom
# Space group ... Cmmm (65)
# Energy of formation from the pure elements ... 0.43 eV per atom

***

No. 17
# LiIn2Ru (PBE, relaxed)
data_LiIn2Ru
_chemical_formula_sum 'Li1 In2 Ru1'
_space_group_name_H-M_alt 'P 1'
_space_group_IT_number 1
_space_group_name_Hall 'P 1'
_cell_length_a 3.5466
_cell_length_b 3.5466
_cell_length_c 5.8073
_cell_angle_alpha 90.00
_cell_angle_beta 90.00
_cell_angle_gamma 90.00
loop_
_atom_site_label
_atom_site_type_symbol
_atom_site_fract_x
_atom_site_fract_y
_atom_site_fract_z
Li1 Li 0.0000 0.0000 0.0000
In1 In 0.0000 0.0000 0.4405
In2 In 0.5000 0.5000 0.7681
Ru1 Ru 0.5000 0.5000 0.2419
# Electronic total energy ... -4.12 eV/atom
# Space group ... P4mm (99)
# Energy of formation from the pure elements ... 0.04 eV per atom
# ΔE to the lowest computed polymorph ... 194.8 meV/atom

***

No. 18
# Li4InRu (PBE, relaxed)
data_Li4InRu
_chemical_formula_sum 'Li4 In1 Ru1'
_space_group_name_H-M_alt 'P 1'
_space_group_IT_number 1
_space_group_name_Hall 'P 1'
_cell_length_a 4.9463
_cell_length_b 4.9463
_cell_length_c 4.9463
_cell_angle_alpha 60.00
_cell_angle_beta 60.00
_cell_angle_gamma 60.00
loop_
_atom_site_label
_atom_site_type_symbol
_atom_site_fract_x
_atom_site_fract_y
_atom_site_fract_z
Li1 Li 0.1229 0.1229 0.1229
Li2 Li 0.1229 0.1229 0.6313
Li3 Li 0.1229 0.6313 0.1229
Li4 Li 0.6313 0.1229 0.1229
In1 In 0.5000 0.5000 0.5000
Ru1 Ru 0.7500 0.7500 0.7500
# Electronic total energy ... -3.19 eV/atom
# Space group ... F-43m (216)
# Energy of formation from the pure elements ... 0.09 eV per atom

***

No. 19
# LiIn2Ru (PBE, relaxed)
data_LiIn2Ru
_chemical_formula_sum 'Li1 In2 Ru1'
_space_group_name_H-M_alt 'P 1'
_space_group_IT_number 1
_space_group_name_Hall 'P 1'
_cell_length_a 4.6097
_cell_length_b 4.6097
_cell_length_c 4.6097
_cell_angle_alpha 60.00
_cell_angle_beta 60.00
_cell_angle_gamma 60.00
loop_
_atom_site_label
_atom_site_type_symbol
_atom_site_fract_x
_atom_site_fract_y
_atom_site_fract_z
Li1 Li 0.0000 0.0000 0.0000
In1 In 0.2500 0.2500 0.2500
In2 In 0.7500 0.7500 0.7500
Ru1 Ru 0.5000 0.5000 0.5000
# Electronic total energy ... -4.32 eV/atom
# Space group ... Fm-3m (225)
# Energy of formation from the pure elements ... -0.15 eV per atom
# ΔE to the lowest computed polymorph ... 0.0 meV/atom

***

No. 20
# LiIn2Ru (PBE, relaxed)
data_LiIn2Ru
_chemical_formula_sum 'Li1 In2 Ru1'
_space_group_name_H-M_alt 'P 1'
_space_group_IT_number 1
_space_group_name_Hall 'P 1'
_cell_length_a 4.6931
_cell_length_b 4.6931
_cell_length_c 5.6184
_cell_angle_alpha 98.76
_cell_angle_beta 98.76
_cell_angle_gamma 38.02
loop_
_atom_site_label
_atom_site_type_symbol
_atom_site_fract_x
_atom_site_fract_y
_atom_site_fract_z
Li1 Li 0.0000 0.0000 0.0000
In1 In 0.2417 0.2417 0.7378
In2 In 0.7583 0.7583 0.2622
Ru1 Ru 0.5000 0.5000 0.5000
# Electronic total energy ... -4.10 eV/atom
# Space group ... C2/m (12)
# Energy of formation from the pure elements ... 0.07 eV per atom
# ΔE to the lowest computed polymorph ... 223.6 meV/atom